No. 1
KSr3Ir: optimized geometry, GGA-PBEsol.

Calculated values
V in Å³/atom: 43.308
DFT formation energy in eV/atom: -0.06
Relative energy among the computed polymorphs in meV per atom: 0
D(E_F) in states/eV/cell: 5.0

Structure (CIF):
```
data_KSr3Ir
_chemical_formula_sum 'K2 Sr6 Ir2'
_symmetry_space_group_name_H-M 'P 1 21/m 1'
_symmetry_Int_Tables_number 11
_cell_length_a 9.6028
_cell_length_b 4.2502
_cell_length_c 10.8685
_cell_angle_alpha 90.00
_cell_angle_beta 102.50
_cell_angle_gamma 90.00
loop_
_symmetry_equiv_pos_as_xyz
'x,y,z'
'-x,-y,-z'
'-x,y+1/2,-z'
'x,-y+1/2,z'
loop_
_atom_site_label
_atom_site_type_symbol
_atom_site_fract_x
_atom_site_fract_y
_atom_site_fract_z
K1 K 0.2115 0.2500 0.0447
Sr1 Sr 0.0395 0.7500 0.3755
Sr2 Sr 0.3050 0.7500 0.7102
Sr3 Sr 0.3991 0.7500 0.3818
Ir1 Ir 0.2537 0.2500 0.5167
```

---

No. 2
BeRhAu4: optimized geometry, GGA-PBEsol.

Calculated values
V in Å³/atom: 17.241
DFT formation energy in eV/atom: 0.57
D(E_F) in states/eV/cell: 11.8

Structure (CIF):
```
data_BeRhAu4
_chemical_formula_sum 'Be4 Rh4 Au16'
_symmetry_space_group_name_H-M 'F -4 3 m'
_symmetry_Int_Tables_number 216
_symmetry_space_group_name_Hall 'F -4 2 3'
_cell_length_a 7.4518
_cell_length_b 7.4518
_cell_length_c 7.4518
_cell_angle_alpha 90.00
_cell_angle_beta 90.00
_cell_angle_gamma 90.00
loop_
_atom_site_label
_atom_site_type_symbol
_atom_site_fract_x
_atom_site_fract_y
_atom_site_fract_z
Be1 Be 0.0000 0.0000 0.0000
Rh1 Rh 0.2500 0.2500 0.7500
Au1 Au 0.1250 0.1250 0.3750
```

---

No. 3
Ba5Cr3O13: optimized geometry, GGA-PBEsol.

Calculated values
V in Å³/atom: 17.381
Formation energy without anion corrections in kJ/mol of formula units: -5017
D(E_F) in states/eV/cell: 27.1

Structure (CIF):
```
data_Ba5Cr3O13
_chemical_formula_sum 'Ba10 Cr6 O26'
_symmetry_space_group_name_H-M 'P 63'
_symmetry_Int_Tables_number 173
_cell_length_a 10.3512
_cell_length_b 10.3512
_cell_length_c 7.8669
_cell_angle_alpha 90.00
_cell_angle_beta 90.00
_cell_angle_gamma 120.00
loop_
_symmetry_equiv_pos_as_xyz
'x,y,z'
'x-y,x,z+1/2'
'-y,x-y,z'
'-x,-y,z+1/2'
'-x+y,-x,z'
'y,-x+y,z+1/2'
loop_
_atom_site_label
_atom_site_type_symbol
_atom_site_fract_x
_atom_site_fract_y
_atom_site_fract_z
Ba1 Ba 0.0179 0.7761 0.0000
Ba2 Ba 0.3333 0.6667 0.2487
Ba3 Ba 0.3333 0.6667 0.7513
Cr1 Cr 0.0382 0.6298 0.5000
O1 O 0.0000 0.0000 0.4982
O2 O 0.0958 0.7397 0.3272
O3 O 0.0957 0.7396 0.6728
O4 O 0.1279 0.5319 0.4999
O5 O 0.1493 0.4819 0.0000
```

---

Record-wise M_tot values, in μB/f.u.: 0.0; 0.0; 2.0